(1)
The following is a GGA-PBE calculation of a relaxed structure of TcBr, from Alexandria.

Cell: 3.695 11.285 6.394 Å, 90.00 90.00 90.00°
Fractional coordinates of all 12 atoms:
Tc 0.250 0.045 0.076
Tc 0.250 0.455 0.076
Tc 0.250 0.750 0.325
Tc 0.750 0.250 0.675
Tc 0.750 0.545 0.924
Tc 0.750 0.955 0.924
Br 0.250 0.250 0.915
Br 0.250 0.601 0.625
Br 0.250 0.899 0.625
Br 0.750 0.101 0.375
Br 0.750 0.399 0.375
Br 0.750 0.750 0.085

## Properties
DFT total energy in Ha/atom: -0.196
Space group: Pmmn (59)
E_form (uncorrected) in meV per atom: 698
Polymorph energy (0 for the lowest one) in meV/atom: 655

=====

(2)
The following is a GGA-PBE calculation of a relaxed structure of Co2SiTc, from Alexandria.

Cell: 4.357 4.357 2.617 Å, 90.00 90.00 108.31°
Fractional coordinates of all 4 atoms:
Co 0.000 0.500 0.000
Co 0.500 0.000 0.000
Si 0.000 0.000 0.500
Tc 0.500 0.500 0.500

## Properties
DFT total energy in Ha/atom: -0.280
Space group: Cmmm (65)
E_form (uncorrected) in meV per atom: -133

=====

(3)
The following is a GGA-PBE calculation of a relaxed structure of SrDyTlGa, from Alexandria.

Cell: 5.430 5.430 5.430 Å, 60.00 60.00 60.00°
Fractional coordinates of all 4 atoms:
Sr 0.000 0.000 0.000
Dy 0.500 0.500 0.500
Tl 0.250 0.250 0.250
Ga 0.750 0.750 0.750

## Properties
DFT total energy in Ha/atom: -0.120
Energy relative to the elements in meV per atom: -334.1
Space group: F-43m (216)

=====

(4)
The following is a GGA-PBE calculation of a relaxed structure of Pm6As2AuSe3, from Alexandria.

Cell: 9.472 9.472 8.514 Å, 102.99 102.99 25.64°
Fractional coordinates of all 12 atoms:
Pm 0.002 0.002 0.253
Pm 0.331 0.331 0.422
Pm 0.331 0.331 0.909
Pm 0.669 0.669 0.091
Pm 0.669 0.669 0.578
Pm 0.998 0.998 0.747
As 0.166 0.166 0.334
As 0.834 0.834 0.666
Au 0.500 0.500 0.000
Se 0.167 0.167 0.833
Se 0.500 0.500 0.500
Se 0.833 0.833 0.167

## Properties
DFT total energy in Ha/atom: -0.216
Space group: C2/m (12)
E_form (uncorrected) in meV per atom: -1581

=====

(5)
The following is a GGA-PBE calculation of a relaxed structure of Li2B3C3, from Alexandria.

Cell: 7.206 7.206 8.671 Å, 123.17 123.17 21.73°
Fractional coordinates of all 16 atoms:
Li 0.000 0.000 0.000
Li 0.167 0.167 0.499
Li 0.500 0.500 0.500
Li 0.833 0.833 0.501
B 0.032 0.032 0.752
B 0.304 0.304 0.252
B 0.361 0.361 0.746
B 0.639 0.639 0.254
B 0.696 0.696 0.748
B 0.968 0.968 0.248
C 0.137 0.137 0.739
C 0.196 0.196 0.259
C 0.474 0.474 0.750
C 0.526 0.526 0.250
C 0.804 0.804 0.741
C 0.863 0.863 0.261

## Properties
DFT total energy in Ha/atom: -0.242
Energy relative to the elements in meV per atom: -155.2
Space group: C2/m (12)
Polymorph energy (0 for the lowest one) in meV/atom: 22

=====

(6)
The following is a GGA-PBE calculation of a relaxed structure of PrAgOs2O8, from Alexandria.

Cell: 6.141 6.141 6.847 Å, 90.00 90.00 120.00°
Fractional coordinates of all 12 atoms:
Pr 0.000 0.000 0.000
Ag 0.000 0.000 0.500
Os 0.333 0.667 0.313
Os 0.667 0.333 0.687
O 0.172 0.343 0.223
O 0.172 0.828 0.223
O 0.333 0.667 0.569
O 0.343 0.172 0.777
O 0.657 0.828 0.223
O 0.667 0.333 0.431
O 0.828 0.172 0.777
O 0.828 0.657 0.777

## Properties
DFT total energy in Ha/atom: -0.257
Space group: P-3m1 (164)
E_form (uncorrected) in meV per atom: -1188

=====

Number 1: DOS(E_F) 0.747 states/eV per atom, total magnetization 0.0 Bohr magnetons per cell. Number 2: DOS(E_F) 0.983 states/eV per atom, total magnetization 0.0 Bohr magnetons per cell. Number 3: DOS(E_F) 0.730 states/eV per atom, total magnetization 0.0 Bohr magnetons per cell. Number 4: DOS(E_F) 0.375 states/eV per atom, total magnetization 0.0 Bohr magnetons per cell. Number 5: DOS(E_F) 0.231 states/eV per atom, total magnetization 0.0 Bohr magnetons per cell. Number 6: DOS(E_F) 0.219 states/eV per atom, total magnetization 4.0 Bohr magnetons per cell.